Entry 1:
Here is an optimized crystal structure of Ba5Au2N from Alexandria via LeMat-Bulk. Energies are from PBE.

Computed properties:
E_form (uncorrected)   -0.42 eV per atom
Volume   662.27 Å³/cell
Uncorrected energy   -55.78 eV/cell
Mass density   5.49 g/cm³

Lattice parameters (Å, degrees): 7.590 7.590 15.196 90.00 90.00 130.85
Element x y z (fractional)
Ba1 0.065 0.935 0.625
Ba2 0.065 0.935 0.875
Ba3 0.295 0.705 0.250
Ba4 0.340 0.660 0.617
Ba5 0.340 0.660 0.883
Ba6 0.660 0.340 0.117
Ba7 0.660 0.340 0.383
Ba8 0.705 0.295 0.750
Ba9 0.935 0.065 0.125
Ba10 0.935 0.065 0.375
Au1 0.183 0.817 0.060
Au2 0.183 0.817 0.440
Au3 0.817 0.183 0.560
Au4 0.817 0.183 0.940
N1 0.199 0.801 0.750
N2 0.801 0.199 0.250

=====

Entry 2:
Here is an optimized crystal structure of Nd4AgHg from Alexandria via LeMat-Bulk. Energies are from PBE.

Computed properties:
Volume   361.05 Å³/cell
Uncorrected energy   -45.52 eV/cell
Formation energy   -0.089 eV per atom
Relative energy among the computed polymorphs   135 meV/atom
Mass density   8.14 g/cm³

Lattice parameters (Å, degrees): 6.282 9.513 6.260 90.00 105.17 90.00
Element x y z (fractional)
Nd1 0.092 0.162 0.096
Nd2 0.092 0.338 0.596
Nd3 0.404 0.659 0.912
Nd4 0.404 0.841 0.412
Nd5 0.596 0.159 0.588
Nd6 0.596 0.341 0.088
Nd7 0.908 0.662 0.404
Nd8 0.908 0.838 0.904
Ag1 0.000 0.000 0.500
Ag2 0.000 0.500 0.000
Hg1 0.500 0.000 0.000
Hg2 0.500 0.500 0.500